The following is a PBE calculation of a relaxed Li2Zr2AlInNi2 crystal, from OQMD via LeMat-Bulk.

The structure in extended XYZ format:
```
8
Lattice="4.3931 0.0000 0.0000 0.0000 4.3931 0.0000 0.0000 0.0000 6.2256" Properties=species:S:1:pos:R:3 pbc="T T T"
Zr 2.1965 2.1965 3.1128
Li 2.1965 0.0000 4.7112
Ni 2.1965 0.0000 1.4689
Ni 0.0000 2.1965 4.7567
In 0.0000 0.0000 3.1128
Li 0.0000 2.1965 1.5144
Zr 0.0000 0.0000 0.0000
Al 2.1965 2.1965 0.0000
```

- Calculated density: 6.30 g/cm3
- Electronic total energy: -42.1 eV for the cell shown

The following is a PBE calculation of a relaxed Hf2SiN crystal, from OQMD via LeMat-Bulk.

The structure in extended XYZ format:
```
8
Lattice="-0.0090 -2.2537 -2.2856 0.9587 -0.7341 2.9741 -12.5152 -3.2325 3.2365" Properties=species:S:1:pos:R:3 pbc="T T T"
Hf -0.5641 -1.5507 1.5313
N 0.0000 0.0000 0.0000
Hf -11.0014 -4.6697 2.3937
Hf -7.1443 -3.6734 1.3963
Si -2.8152 -2.5553 0.2768
N -6.2576 -1.6162 1.6183
Hf -4.4212 -2.5469 2.5287
Si -8.7503 -3.6650 3.6483
```

- Calculated density: 11.15 g/cm3
- Electronic total energy: -76.3 eV for the cell shown

The following is a PBE calculation of a relaxed ScBeCuBi crystal, from OQMD via LeMat-Bulk.

The structure in extended XYZ format:
```
4
Lattice="0.0000 3.3332 3.3332 3.3332 0.0000 3.3332 3.3332 3.3332 0.0000" Properties=species:S:1:pos:R:3 pbc="T T T"
Bi 1.6666 1.6666 1.6666
Cu 0.0000 0.0000 0.0000
Sc 4.9998 4.9998 4.9998
Be 3.3332 3.3332 3.3332
```

- Excess energy over the best structure of this formula in the dataset: 0 meV per atom
- Calculated density: 7.32 g/cm3
- Electronic total energy: -17.0 eV for the cell shown

Question: Among the records above, which one has the highest calculated density?
Answer: Hf2SiN

Question: The lowest calculated density belongs to which entry?
Answer: Li2Zr2AlInNi2

Question: Which value of calculated density does entry 3 give?
Answer: 7.32 g/cm3